Below is FeTe2Rh at its PBEsol-relaxed geometry, with properties calculated at the meta-GGA SCAN level.

Results
Uncorrected energy = -31.70 eV/atom
Space group = No. 99

Cell and atoms, written as CIF:
```
data_FeTe2Rh
_symmetry_space_group_name_H-M 'P 1'
_symmetry_Int_Tables_number 1
_cell_length_a 3.460
_cell_length_b 3.460
_cell_length_c 6.689
_cell_angle_alpha 90.00
_cell_angle_beta 90.00
_cell_angle_gamma 90.00
loop_
_symmetry_equiv_pos_as_xyz
'x,y,z'
loop_
_atom_site_label
_atom_site_type_symbol
_atom_site_fract_x
_atom_site_fract_y
_atom_site_fract_z
Fe1 Fe 0.000 0.000 0.000
Te1 Te 0.000 0.000 0.378
Te2 Te 0.500 0.500 0.835
Rh1 Rh 0.500 0.500 0.218
```



Below is V2PO5 at its PBEsol-relaxed geometry, with properties calculated at the meta-GGA SCAN level.

Results
Uncorrected energy = -12.17 eV/atom
Space group = No. 141

Cell and atoms, written as CIF:
```
data_V2PO5
_symmetry_space_group_name_H-M 'P 1'
_symmetry_Int_Tables_number 1
_cell_length_a 7.186
_cell_length_b 7.186
_cell_length_c 7.186
_cell_angle_alpha 136.30
_cell_angle_beta 136.30
_cell_angle_gamma 63.51
loop_
_symmetry_equiv_pos_as_xyz
'x,y,z'
loop_
_atom_site_label
_atom_site_type_symbol
_atom_site_fract_x
_atom_site_fract_y
_atom_site_fract_z
V1 V 0.000 0.000 0.000
V2 V 0.000 0.000 0.500
V3 V 0.000 0.500 0.000
V4 V 0.500 0.000 0.500
P1 P 0.375 0.625 0.750
P2 P 0.625 0.375 0.250
O1 O 0.125 0.875 0.250
O2 O 0.202 0.693 0.508
O3 O 0.307 0.315 0.508
O4 O 0.307 0.798 0.992
O5 O 0.315 0.307 0.008
O6 O 0.685 0.693 0.992
O7 O 0.693 0.202 0.008
O8 O 0.693 0.685 0.492
O9 O 0.798 0.307 0.492
O10 O 0.875 0.125 0.750
```



Below is FeTcCl2 at its PBEsol-relaxed geometry, with properties calculated at the meta-GGA SCAN level.

Results
Energy above the most stable polymorph in this dataset = 20.1 kJ per mole of atoms
Uncorrected energy = -16.64 eV/atom
Space group = No. 225

Cell and atoms, written as CIF:
```
data_FeTcCl2
_symmetry_space_group_name_H-M 'P 1'
_symmetry_Int_Tables_number 1
_cell_length_a 6.000
_cell_length_b 6.000
_cell_length_c 6.000
_cell_angle_alpha 90.00
_cell_angle_beta 90.00
_cell_angle_gamma 90.00
loop_
_symmetry_equiv_pos_as_xyz
'x,y,z'
loop_
_atom_site_label
_atom_site_type_symbol
_atom_site_fract_x
_atom_site_fract_y
_atom_site_fract_z
Fe1 Fe 0.000 0.000 0.000
Fe2 Fe 0.000 0.500 0.500
Fe3 Fe 0.500 0.000 0.500
Fe4 Fe 0.500 0.500 0.000
Tc1 Tc 0.000 0.000 0.500
Tc2 Tc 0.000 0.500 0.000
Tc3 Tc 0.500 0.000 0.000
Tc4 Tc 0.500 0.500 0.500
Cl1 Cl 0.250 0.250 0.250
Cl2 Cl 0.250 0.250 0.750
Cl3 Cl 0.250 0.750 0.250
Cl4 Cl 0.250 0.750 0.750
Cl5 Cl 0.750 0.250 0.250
Cl6 Cl 0.750 0.250 0.750
Cl7 Cl 0.750 0.750 0.250
Cl8 Cl 0.750 0.750 0.750
```



Below is OsRu3 at its PBEsol-relaxed geometry, with properties calculated at the meta-GGA SCAN level.

Results
ΔE_f = -8 meV per atom
Uncorrected energy = -44.10 eV/atom
Space group = No. 187

Cell and atoms, written as CIF:
```
data_OsRu3
_symmetry_space_group_name_H-M 'P 1'
_symmetry_Int_Tables_number 1
_cell_length_a 2.697
_cell_length_b 2.697
_cell_length_c 8.542
_cell_angle_alpha 90.00
_cell_angle_beta 90.00
_cell_angle_gamma 120.00
loop_
_symmetry_equiv_pos_as_xyz
'x,y,z'
loop_
_atom_site_label
_atom_site_type_symbol
_atom_site_fract_x
_atom_site_fract_y
_atom_site_fract_z
Os1 Os 0.000 0.000 0.000
Ru1 Ru 0.000 0.000 0.500
Ru2 Ru 0.667 0.333 0.251
Ru3 Ru 0.667 0.333 0.749
```



Below is Y2AgP at its PBEsol-relaxed geometry, with properties calculated at the meta-GGA SCAN level.

Results
ΔE_f = -985 meV per atom
Uncorrected energy = -25.35 eV/atom
Space group = No. 166

Cell and atoms, written as CIF:
```
data_Y2AgP
_symmetry_space_group_name_H-M 'P 1'
_symmetry_Int_Tables_number 1
_cell_length_a 3.968
_cell_length_b 3.968
_cell_length_c 20.885
_cell_angle_alpha 90.00
_cell_angle_beta 90.00
_cell_angle_gamma 120.00
loop_
_symmetry_equiv_pos_as_xyz
'x,y,z'
loop_
_atom_site_label
_atom_site_type_symbol
_atom_site_fract_x
_atom_site_fract_y
_atom_site_fract_z
Y1 Y 0.000 0.000 0.239
Y2 Y 0.000 0.000 0.761
Y3 Y 0.333 0.667 0.427
Y4 Y 0.333 0.667 0.906
Y5 Y 0.667 0.333 0.094
Y6 Y 0.667 0.333 0.573
Ag1 Ag 0.000 0.000 0.000
Ag2 Ag 0.333 0.667 0.667
Ag3 Ag 0.667 0.333 0.333
P1 P 0.000 0.000 0.500
P2 P 0.333 0.667 0.167
P3 P 0.667 0.333 0.833
```



Below is MgAg3As at its PBEsol-relaxed geometry, with properties calculated at the meta-GGA SCAN level.

Results
ΔE_f = 837 meV per atom
Uncorrected energy = -23.02 eV/atom
Space group = No. 221

Cell and atoms, written as CIF:
```
data_MgAg3As
_symmetry_space_group_name_H-M 'P 1'
_symmetry_Int_Tables_number 1
_cell_length_a 4.772
_cell_length_b 4.772
_cell_length_c 4.772
_cell_angle_alpha 90.00
_cell_angle_beta 90.00
_cell_angle_gamma 90.00
loop_
_symmetry_equiv_pos_as_xyz
'x,y,z'
loop_
_atom_site_label
_atom_site_type_symbol
_atom_site_fract_x
_atom_site_fract_y
_atom_site_fract_z
Mg1 Mg 0.000 0.000 0.000
Ag1 Ag 0.000 0.000 0.500
Ag2 Ag 0.000 0.500 0.000
Ag3 Ag 0.500 0.000 0.000
As1 As 0.500 0.500 0.500
```